Entry 1:
Tm3Zn11: optimized geometry, PBE.

Results
* crystal system: orthorhombic

a = 4.3088 Å, b = 8.9443 Å, c = 12.6295 Å
α = 90.00°, β = 90.00°, γ = 90.00°
Last column: nearest neighbours and their distance in Å.
Space group Immm (No. 71)
One atom of each set of equivalent atoms:
Tm: 0.0000 0.0000 0.0000  12 Zn 3.06-3.19
Tm: 0.0000 0.0000 0.2934  14 Zn 3.01-3.29
Zn: 0.0000 0.1832 0.5000  8 Zn 2.56-2.79
Zn: 0.0000 0.2808 0.1382  6 Zn 2.52-2.79
Zn: 0.0000 0.3620 0.3418  5 Zn 2.47-2.67
Zn: 0.0000 0.5000 0.0000  8 Zn 2.63-2.71

***

Entry 2:
Tm2Zn17: optimized geometry, PBE.

Results
* crystal system: trigonal

a = 8.9035 Å, b = 8.9035 Å, c = 13.0624 Å
α = 90.00°, β = 90.00°, γ = 120.00°
Last column: nearest neighbours and their distance in Å.
Space group R-3m (No. 166, hexagonal axes)
One atom of each set of equivalent atoms:
Tm: 0.0000 0.0000 0.1651  19 Zn 3.06-3.42
Zn: 0.0000 0.0000 0.3996  7 Zn 2.62-2.85
Zn: 0.0000 0.2991 0.5000  8 Zn 2.57-2.73
Zn: 0.0000 0.5000 0.0000  10 Zn 2.57-2.71
Zn: 0.0100 0.5050 0.6524  8 Zn 2.52-2.73

***

Entry 3:
Tm3Zn4: optimized geometry, PBE.

Results
* crystal system: hexagonal
* E above lowest polymorph: 0.000 eV/atom

a = 8.6460 Å, b = 8.6460 Å, c = 4.5724 Å
α = 90.00°, β = 90.00°, γ = 120.00°
Last column: nearest neighbours and their distance in Å.
Space group P6_3/m (No. 176)
One atom of each set of equivalent atoms:
Tm: 0.1015 0.4421 0.2500  6 Zn 2.92-3.09
Zn: 0.0378 0.2080 0.7500  6 Zn 2.82-2.87, 4 Tm 2.92-3.09
Zn: 0.3333 0.6667 0.7500  6 Tm 3.02

***

Entry 4:
Tm2Zn17: optimized geometry, PBE.

Results
* crystal system: hexagonal

a = 8.9047 Å, b = 8.9047 Å, c = 8.6985 Å
α = 90.00°, β = 90.00°, γ = 120.00°
Last column: nearest neighbours and their distance in Å.
Space group P6_3/mmc (No. 194)
One atom of each set of equivalent atoms:
Tm: 0.0000 0.0000 0.2500  18 Zn 3.10-3.43
Tm: 0.3333 0.6667 0.2500  20 Zn 3.04-3.37
Zn: 0.0000 0.5000 0.0000  10 Zn 2.58-2.71
Zn: 0.0361 0.3647 0.7500  8 Zn 2.58-2.73
Zn: 0.1616 0.3231 0.0217  8 Zn 2.52-2.72
Zn: 0.3333 0.6667 0.6000  7 Zn 2.61-2.85

***

Entry 5:
Tm3Zn4: optimized geometry, PBE.

Results
* crystal system: hexagonal
* E above lowest polymorph: 0.100 eV/atom

a = 8.1679 Å, b = 8.1679 Å, c = 5.0966 Å
α = 90.00°, β = 90.00°, γ = 120.00°
Last column: nearest neighbours and their distance in Å.
Space group P6_3/m (No. 176)
One atom of each set of equivalent atoms:
Tm: 0.0798 0.2772 0.2500  5 Zn 2.80-3.04
Zn: 0.1160 0.4917 0.7500  4 Zn 2.82-3.02, 4 Tm 3.02-3.04
Zn: 0.3333 0.6667 0.2500  3 Tm 2.80, 6 Zn 3.02

***

Entry 6:
Tm6Zn23: optimized geometry, PBE.

Results
* crystal system: cubic

a = 12.5427 Å, b = 12.5427 Å, c = 12.5427 Å
α = 90.00°, β = 90.00°, γ = 90.00°
Last column: nearest neighbours and their distance in Å.
Space group Fm-3m (No. 225)
One atom of each set of equivalent atoms:
Tm: 0.0000 0.0000 0.2037  12 Zn 3.04-3.19
Zn: 0.0000 0.0000 0.5000  8 Zn 2.65
Zn: 0.0000 0.2500 0.2500  8 Zn 2.56-2.74
Zn: 0.1222 0.1222 0.3778  7 Zn 2.65-2.74
Zn: 0.1700 0.1700 0.1700  9 Zn 2.56-2.84

***

Entry 7:
TmZrZn: optimized geometry, PBE.

Results
* crystal system: cubic
* E above lowest polymorph: 0.000 eV/atom

a = 6.6514 Å, b = 6.6514 Å, c = 6.6514 Å
α = 90.00°, β = 90.00°, γ = 90.00°
Last column: nearest neighbours and their distance in Å.
Space group F-43m (No. 216)
One atom of each set of equivalent atoms:
Tm: 0.0000 0.0000 0.0000  4 Zn 2.88
Zr: 0.0000 0.0000 0.5000  4 Zn 2.88
Zn: 0.2500 0.2500 0.2500  4 Zr 2.88, 4 Tm 2.88

***

Entry 8:
TmZr: optimized geometry, PBE.

Results
* crystal system: orthorhombic
* E above lowest polymorph: 0.000 eV/atom

a = 6.9017 Å, b = 5.7783 Å, c = 5.3019 Å
α = 90.00°, β = 90.00°, γ = 90.00°
Last column: nearest neighbours and their distance in Å.
Space group Pbcm (No. 57)
One atom of each set of equivalent atoms:
Tm: 0.1408 0.0706 0.2500  5 Zr 3.22-3.49, 6 Tm 3.37-3.48
Zr: 0.3933 0.5944 0.2500  6 Zr 3.20-3.24, 5 Tm 3.22-3.49

***

Entry 9:
TmZr: optimized geometry, PBE.

Results
* crystal system: orthorhombic
* E above lowest polymorph: 0.017 eV/atom

a = 5.3247 Å, b = 6.7346 Å, c = 11.7166 Å
α = 90.00°, β = 90.00°, γ = 90.00°
Last column: nearest neighbours and their distance in Å.
Space group Pmmn (No. 59, origin choice 2)
One atom of each set of equivalent atoms:
Tm: 0.2500 0.0021 0.0857  4 Zr 3.32-3.54, 8 Tm 3.33-3.55
Tm: 0.2500 0.2500 0.3392  10 Zr 3.28-3.37, 2 Tm 3.41
Tm: 0.2500 0.2500 0.8181  6 Zr 3.25-3.37, 6 Tm 3.35-3.55
Zr: 0.2500 0.0007 0.5802  8 Zr 3.17-3.38, 4 Tm 3.25-3.29
Zr: 0.2500 0.7500 0.3509  6 Zr 3.17-3.25, 6 Tm 3.32-3.54
Zr: 0.2500 0.7500 0.8242  10 Tm 3.28-3.50, 2 Zr 3.32

***

Entry 10:
TmZr: optimized geometry, PBE.

Results
* crystal system: orthorhombic
* E above lowest polymorph: 0.014 eV/atom

a = 5.2999 Å, b = 10.2284 Å, c = 5.8209 Å
α = 90.00°, β = 90.00°, γ = 90.00°
Last column: nearest neighbours and their distance in Å.
Space group Pmc2_1 (No. 26)
One atom of each set of equivalent atoms:
Tm: 0.0000 0.0827 0.0000  9 Zr 3.27-3.35, 3 Tm 3.34-3.37
Tm: 0.0000 0.4095 0.0203  5 Zr 3.28-3.56, 7 Tm 3.34-3.45
Tm: 0.5000 0.4037 0.6639  5 Zr 3.25-3.50, 6 Tm 3.37-3.51
Zr: 0.0000 0.2426 0.5016  4 Zr 3.22-3.24, 8 Tm 3.26-3.56
Zr: 0.5000 0.0860 0.6655  7 Zr 3.17-3.41, 5 Tm 3.25-3.31
Zr: 0.5000 0.2366 0.1886  5 Zr 3.17-3.41, 6 Tm 3.25-3.50

***

Entry 11:
TmZr2: optimized geometry, PBE.

Results
* crystal system: orthorhombic

a = 10.1082 Å, b = 5.7044 Å, c = 5.2314 Å
α = 90.00°, β = 90.00°, γ = 90.00°
Last column: nearest neighbours and their distance in Å.
Space group Cmcm (No. 63)
One atom of each set of equivalent atoms:
Tm: 0.0000 0.1790 0.2500  10 Zr 3.26-3.46, 2 Tm 3.32
Zr: 0.1757 0.3414 0.7500  7 Zr 3.18-3.55, 5 Tm 3.26-3.46

***

Entry 12:
TmZr: optimized geometry, PBE.

Results
* crystal system: orthorhombic
* E above lowest polymorph: 0.017 eV/atom

a = 5.3050 Å, b = 10.2188 Å, c = 5.8081 Å
α = 90.00°, β = 90.00°, γ = 90.00°
Last column: nearest neighbours and their distance in Å.
Space group Pmc2_1 (No. 26)
One atom of each set of equivalent atoms:
Tm: 0.0000 0.0804 0.0000  5 Zr 3.27-3.57, 7 Tm 3.33-3.50
Tm: 0.0000 0.2574 0.5163  7 Zr 3.20-3.50, 5 Tm 3.34-3.50
Tm: 0.5000 0.2547 0.1621  8 Zr 3.27-3.48, 4 Tm 3.33-3.36
Zr: 0.0000 0.4295 0.9950  6 Tm 3.20-3.57, 6 Zr 3.22-3.24
Zr: 0.5000 0.0799 0.6687  9 Tm 3.27-3.44, 3 Zr 3.33-3.53
Zr: 0.5000 0.4252 0.6808  7 Zr 3.22-3.53, 5 Tm 3.27-3.48

***

no.,total magnetic moment (μB per formula unit),energy of formation from the pure elements (kJ/mol of formula units)
1,0.0,-430
2,0.0,-395
3,0.0,-135
4,0.0,-394
5,0.0,-68
6,0.0,-835
7,1.0,54
8,0.0,4
9,0.0,7
10,0.0,7
11,0.0,4
12,0.0,7